Record 1
{"formula": "CeNd2F11", "functional": "GGA-PBE", "state": "relaxed", "sg": "Ibam, No. 72", "raw_formation_energy_ev_per_atom": -3.61, "m_tot_mub_per_cell": 2.2, "lattice": [[-4.327, 5.254, 5.681], [4.327, -5.254, 5.681], [4.327, 5.254, -5.681]], "species": ["Ce", "Ce", "Nd", "Nd", "Nd", "Nd", "F", "F", "F", "F", "F", "F", "F", "F", "F", "F", "F", "F", "F", "F", "F", "F", "F", "F", "F", "F", "F", "F"], "frac_coords": [[0.250, 0.250, 0.000], [0.750, 0.750, 0.000], [0.191, 0.664, 0.855], [0.309, 0.164, 0.473], [0.691, 0.836, 0.527], [0.809, 0.336, 0.145], [0.000, 0.500, 0.500], [0.022, 0.952, 0.263], [0.061, 0.335, 0.123], [0.186, 0.392, 0.578], [0.189, 0.452, 0.929], [0.212, 0.938, 0.877], [0.288, 0.165, 0.726], [0.311, 0.241, 0.263], [0.314, 0.892, 0.206], [0.439, 0.562, 0.274], [0.478, 0.741, 0.929], [0.500, 0.000, 0.500], [0.522, 0.259, 0.071], [0.561, 0.438, 0.726], [0.686, 0.108, 0.794], [0.689, 0.759, 0.737], [0.712, 0.835, 0.274], [0.788, 0.062, 0.123], [0.811, 0.548, 0.071], [0.814, 0.608, 0.422], [0.939, 0.665, 0.877], [0.978, 0.048, 0.737]]}

Record 2
{"formula": "CeNd2F", "functional": "GGA-PBE", "state": "relaxed", "sg": "R-3m, No. 166", "raw_formation_energy_ev_per_atom": -1.09, "m_tot_mub_per_cell": 0.6, "lattice": [[1.837, 1.061, 8.924], [-1.837, 1.061, 8.924], [0.000, -2.121, 8.924]], "species": ["Ce", "Nd", "Nd", "F"], "frac_coords": [[0.000, 0.000, 0.000], [0.230, 0.230, 0.230], [0.770, 0.770, 0.770], [0.500, 0.500, 0.500]]}